[1]
# Lu2ReGe, optimized geometry, DFT PBE
data_Lu2ReGe
_chemical_formula_sum 'Lu8 Re4 Ge4'
_cell_length_a 6.715
_cell_length_b 6.715
_cell_length_c 6.715
_cell_angle_alpha 90.00
_cell_angle_beta 90.00
_cell_angle_gamma 90.00
_symmetry_space_group_name_H-M 'F -4 3 m'
_symmetry_Int_Tables_number 216
_symmetry_space_group_name_Hall 'F -4 2 3'
loop_
_atom_site_label
_atom_site_fract_x
_atom_site_fract_y
_atom_site_fract_z
_atom_site_occupancy
Lu1 0.000 0.000 0.000 1
Lu2 0.250 0.250 0.250 1
Re1 0.250 0.250 0.750 1
Ge1 0.000 0.000 0.500 1
# * total energy: -0.47510 Ry per atom


[2]
# LuRe2Ge, optimized geometry, DFT PBE
data_LuRe2Ge
_chemical_formula_sum 'Lu4 Re8 Ge4'
_cell_length_a 6.458
_cell_length_b 6.458
_cell_length_c 6.458
_cell_angle_alpha 90.00
_cell_angle_beta 90.00
_cell_angle_gamma 90.00
_symmetry_space_group_name_H-M 'F -4 3 m'
_symmetry_Int_Tables_number 216
_symmetry_space_group_name_Hall 'F -4 2 3'
loop_
_atom_site_label
_atom_site_fract_x
_atom_site_fract_y
_atom_site_fract_z
_atom_site_occupancy
Lu1 0.000 0.000 0.000 1
Re1 0.000 0.000 0.500 1
Re2 0.250 0.250 0.250 1
Ge1 0.250 0.250 0.750 1
# * total energy: -0.60537 Ry per atom


[3]
# LuReGe2, optimized geometry, DFT PBE
data_LuReGe2
_chemical_formula_sum 'Lu4 Re4 Ge8'
_cell_length_a 6.622
_cell_length_b 6.622
_cell_length_c 6.622
_cell_angle_alpha 90.00
_cell_angle_beta 90.00
_cell_angle_gamma 90.00
_symmetry_space_group_name_H-M 'F -4 3 m'
_symmetry_Int_Tables_number 216
_symmetry_space_group_name_Hall 'F -4 2 3'
loop_
_atom_site_label
_atom_site_fract_x
_atom_site_fract_y
_atom_site_fract_z
_atom_site_occupancy
Lu1 0.000 0.000 0.000 1
Re1 0.250 0.250 0.750 1
Ge1 0.000 0.000 0.500 1
Ge2 0.250 0.250 0.250 1
# * total energy: -0.46102 Ry per atom


[4]
# TmLuReGe2, optimized geometry, DFT PBE
data_TmLuReGe2
_chemical_formula_sum 'Tm4 Lu4 Re4 Ge8'
_cell_length_a 10.850
_cell_length_b 4.199
_cell_length_c 10.016
_cell_angle_alpha 90.00
_cell_angle_beta 117.74
_cell_angle_gamma 90.00
_symmetry_space_group_name_H-M 'C 1 2/m 1'
_symmetry_Int_Tables_number 12
_symmetry_space_group_name_Hall '-C 2y'
loop_
_atom_site_label
_atom_site_fract_x
_atom_site_fract_y
_atom_site_fract_z
_atom_site_occupancy
Tm1 0.185 0.000 0.114 1
Lu1 0.006 0.000 0.676 1
Re1 0.228 0.500 0.368 1
Ge1 0.011 0.500 0.876 1
Ge2 0.136 0.500 0.561 1
# * total energy: -0.49229 Ry per atom


[5]
# LuTlGeS3, optimized geometry, DFT PBE
data_LuTlGeS3
_chemical_formula_sum 'Lu4 Tl4 Ge4 S12'
_cell_length_a 3.832
_cell_length_b 15.368
_cell_length_c 10.715
_cell_angle_alpha 90.00
_cell_angle_beta 90.00
_cell_angle_gamma 90.00
_symmetry_space_group_name_H-M 'C m c m'
_symmetry_Int_Tables_number 63
_symmetry_space_group_name_Hall '-C 2c 2'
loop_
_atom_site_label
_atom_site_fract_x
_atom_site_fract_y
_atom_site_fract_z
_atom_site_occupancy
Lu1 0.000 0.000 0.000 1
Tl1 0.000 0.296 0.250 1
Ge1 0.000 0.381 0.750 1
S1 0.000 0.015 0.250 1
S2 0.000 0.380 0.502 1
# * excess energy over the best structure of this formula in the dataset: 10.9 kJ/mol of atoms


[6]
# LuTlGeS3, optimized geometry, DFT PBE
data_LuTlGeS3
_chemical_formula_sum 'Lu2 Tl2 Ge2 S6'
_cell_length_a 8.234
_cell_length_b 3.840
_cell_length_c 10.549
_cell_angle_alpha 90.00
_cell_angle_beta 107.46
_cell_angle_gamma 90.00
_symmetry_space_group_name_H-M 'P 1 21/m 1'
_symmetry_Int_Tables_number 11
_symmetry_space_group_name_Hall '-P 2yb'
loop_
_atom_site_label
_atom_site_fract_x
_atom_site_fract_y
_atom_site_fract_z
_atom_site_occupancy
Lu1 0.138 0.250 0.154 1
Tl1 0.263 0.750 0.730 1
Ge1 0.359 0.750 0.437 1
S1 0.102 0.250 0.895 1
S2 0.158 0.250 0.414 1
S3 0.378 0.750 0.219 1
# * excess energy over the best structure of this formula in the dataset: 0.0 kJ/mol of atoms